[1]
# Ac2Hg3Pd12Au | Alexandria | GGA-PBE | optimized geometry
# Energy relative to the elements, meV per atom: -145.8
data_Ac2Hg3Pd12Au
_chemical_formula_sum 'Ac6 Hg9 Pd36 Au3'
_space_group_name_H-M_alt 'R -3 m'
_space_group_IT_number 166
_space_group_name_Hall '-R 3 2"'
_cell_length_a 6.9517
_cell_length_b 6.9517
_cell_length_c 27.8838
_cell_angle_alpha 90.00
_cell_angle_beta 90.00
_cell_angle_gamma 120.00
loop_
_atom_site_label
_atom_site_fract_x
_atom_site_fract_y
_atom_site_fract_z
_atom_site_occupancy
Ac1 0.0000 0.0000 0.1383 1
Hg1 0.0000 0.5000 0.0000 1
Pd1 0.0468 0.5234 0.8906 1
Pd2 0.0781 0.5390 0.6185 1
Au1 0.0000 0.0000 0.5000 1


[2]
# LaMgCoH6 | Alexandria | GGA-PBE | optimized geometry
# Raw total energy, eV per atom: -4.0943
data_LaMgCoH6
_chemical_formula_sum 'La1 Mg1 Co1 H6'
_space_group_name_H-M_alt 'P -6 m 2'
_space_group_IT_number 187
_space_group_name_Hall 'P -6 2'
_cell_length_a 4.5888
_cell_length_b 4.5888
_cell_length_c 4.5101
_cell_angle_alpha 90.00
_cell_angle_beta 90.00
_cell_angle_gamma 120.00
loop_
_atom_site_label
_atom_site_fract_x
_atom_site_fract_y
_atom_site_fract_z
_atom_site_occupancy
La1 0.0000 0.0000 0.0000 1
Mg1 0.3333 0.6667 0.5000 1
Co1 0.6667 0.3333 0.5000 1
H1 0.5249 0.0497 0.2436 1


[3]
# Pm3Zn2Pb | Alexandria | GGA-PBE | optimized geometry
# Energy relative to the elements, meV per atom: -372.6
# Offset from the most stable computed form, meV per atom: 14
data_Pm3Zn2Pb
_chemical_formula_sum 'Pm6 Zn4 Pb2'
_space_group_name_H-M_alt 'C m m m'
_space_group_IT_number 65
_space_group_name_Hall '-C 2 2'
_cell_length_a 5.300
_cell_length_b 15.897
_cell_length_c 3.783
_cell_angle_alpha 90.00
_cell_angle_beta 90.00
_cell_angle_gamma 90.00
loop_
_atom_site_label
_atom_site_fract_x
_atom_site_fract_y
_atom_site_fract_z
_atom_site_occupancy
Pm1 0.000 0.000 0.000 1
Pm2 0.000 0.325 0.000 1
Zn1 0.000 0.170 0.500 1
Pb1 0.000 0.500 0.500 1